[1]
The following is a PBE calculation of CrOsSe2 after structural relaxation, from Alexandria via LeMat-Bulk.

As for the energy above the most stable polymorph in this dataset: 3.13 eV per formula unit. For the total energy, the calculation gives -25.0 eV per formula unit. The density comes out at 9.5 Mg/m³. For the spin magnetization, the calculation gives 2.7 μB per formula unit. The calculation puts the formation energy without anion corrections at 0.71 eV per atom. Its density of states at the Fermi level is 1.02 states/eV per atom.

The structure belongs to space group Pmmm (No. 47); the cell edges are 3.2041, 3.9337 and 5.5689 Å and the angles 90.00°, 90.00° and 90.00°. The asymmetric unit holds Cr at (0.0000, 0.0000, 0.0000), Os at (0.5000, 0.0000, 0.5000), Se at (0.0000, 0.5000, 0.5000) and Se at (0.5000, 0.5000, 0.0000).

---

[2]
The following is a PBE calculation of CaSm3Er after structural relaxation, from Alexandria via LeMat-Bulk.

As for the energy above the most stable polymorph in this dataset: 0.24 eV per formula unit. For the formation energy, the calculation gives 0.377 eV per atom. For the total energy, the calculation gives -18.8 eV per formula unit. The density comes out at 5.7 Mg/m³. For the spin magnetization, the calculation gives 0.0 μB per formula unit. Its density of states at the Fermi level is 1.77 states/eV per atom.

The structure belongs to space group R-3 (No. 148, hexagonal axes); the cell edges are 6.1565, 6.1565 and 35.1942 Å and the angles 90.00°, 90.00° and 120.00°. The asymmetric unit holds Ca at (0.0000, 0.0000, 0.1667), Sm at (0.0026, 0.6636, 0.7450) and Er at (0.0000, 0.0000, 0.3336).

---

[3]
The following is a PBE calculation of LaZnGa2Cu after structural relaxation, from Alexandria via LeMat-Bulk.

For the formation energy, the calculation gives -0.480 eV per atom. For the total energy, the calculation gives -18.8 eV per formula unit. The density comes out at 7.0 Mg/m³. For the spin magnetization, the calculation gives 0.0 μB per formula unit. Its density of states at the Fermi level is 0.50 states/eV per atom.

The structure belongs to space group I-4m2 (No. 119); the cell edges are 4.3447, 4.3447 and 10.2647 Å and the angles 90.00°, 90.00° and 90.00°. The asymmetric unit holds La at (0.0000, 0.0000, 0.0000), Zn at (0.0000, 0.5000, 0.2500), Ga at (0.0000, 0.0000, 0.3767) and Cu at (0.0000, 0.5000, 0.7500).

---

[4]
The following is a PBE calculation of NaSr4Mg5 after structural relaxation, from Alexandria via LeMat-Bulk.

For the formation energy, the calculation gives -0.012 eV per atom. For the total energy, the calculation gives -16.1 eV per formula unit. The density comes out at 2.3 Mg/m³. For the spin magnetization, the calculation gives 0.0 μB per formula unit. Its density of states at the Fermi level is 0.78 states/eV per atom.

The structure belongs to space group P4/mmm (No. 123); the cell edges are 4.0858, 4.0858 and 21.0212 Å and the angles 90.00°, 90.00° and 90.00°. The asymmetric unit holds Na at (0.0000, 0.0000, 0.0000), Sr at (0.0000, 0.0000, 0.1906), Sr at (0.0000, 0.0000, 0.3968), Mg at (0.5000, 0.5000, 0.0828), Mg at (0.5000, 0.5000, 0.2935) and Mg at (0.5000, 0.5000, 0.5000).

---

Copy entry 3 word for word.
The following is a PBE calculation of LaZnGa2Cu after structural relaxation, from Alexandria via LeMat-Bulk.

For the formation energy, the calculation gives -0.480 eV per atom. For the total energy, the calculation gives -18.8 eV per formula unit. The density comes out at 7.0 Mg/m³. For the spin magnetization, the calculation gives 0.0 μB per formula unit. Its density of states at the Fermi level is 0.50 states/eV per atom.

The structure belongs to space group I-4m2 (No. 119); the cell edges are 4.3447, 4.3447 and 10.2647 Å and the angles 90.00°, 90.00° and 90.00°. The asymmetric unit holds La at (0.0000, 0.0000, 0.0000), Zn at (0.0000, 0.5000, 0.2500), Ga at (0.0000, 0.0000, 0.3767) and Cu at (0.0000, 0.5000, 0.7500).